Entry 1:
Material: K4Ce3PbS8
Method: DFT, PBE
State: relaxed

```
K4Ce3PbS8
1.0
8.465 0.000 0.000
0.000 8.800 0.229
-4.232 -4.227 5.989
S Ce K Pb
8 3 4 1
Cartesian
2.221 2.430 0.293 S
4.232 4.218 2.977 S
0.000 4.152 3.078 S
6.244 2.430 0.293 S
0.000 0.356 3.242 S
-2.012 2.143 5.925 S
4.232 0.421 3.140 S
2.012 2.143 5.925 S
-2.116 2.287 3.109 Ce
2.116 2.287 3.109 Ce
4.232 4.400 0.114 Ce
4.232 0.000 0.000 K
-2.116 -2.113 2.995 K
2.116 -2.113 2.995 K
0.000 0.000 0.000 K
0.000 4.400 0.114 Pb
```

- Uncorrected formation energy: -1.597 eV/atom
- Symmetry: R-3m (166)
- DOS(E_F): 0.8222 states/eV per atom



Entry 2:
Material: K3CePb2S6
Method: DFT, PBE
State: relaxed

```
K3CePb2S6
1.0
-0.938 -7.165 -0.907
1.387 4.246 -5.752
7.087 -0.095 3.176
S K Pb Ce
6 3 2 1
Cartesian
1.217 -2.479 -0.085 S
1.949 1.114 -1.610 S
1.826 -2.226 -4.367 S
5.710 -0.788 0.884 S
6.319 -0.536 -3.398 S
5.588 -4.128 -1.873 S
3.007 -5.245 -0.154 K
3.768 -1.507 -1.741 K
4.530 2.231 -3.329 K
0.610 0.433 -4.133 Pb
-0.161 -3.353 -2.526 Pb
0.000 0.000 0.000 Ce
```

- Uncorrected formation energy: -1.118 eV/atom
- Symmetry: C2/m (12)
- DOS(E_F): 0.5752 states/eV per atom



Entry 3:
Material: KCePb2Se4
Method: DFT, PBE
State: relaxed

```
KCePb2Se4
1.0
4.392 0.000 0.000
0.000 7.633 -0.218
0.000 2.622 7.198
Se Pb K Ce
4 2 1 1
Cartesian
4.392 2.611 1.902 Se
2.196 3.895 5.215 Se
2.196 6.360 1.765 Se
0.000 7.644 5.078 Se
2.196 1.311 3.599 Pb
0.000 2.622 7.198 Pb
2.196 3.817 -0.109 K
0.000 5.127 3.490 Ce
```

- Uncorrected formation energy: -1.061 eV/atom
- Symmetry: P2/m (10)
- DOS(E_F): 0.9749 states/eV per atom



Entry 4:
Material: K4Ce3PbSe8
Method: DFT, PBE
State: relaxed

```
K4Ce3PbSe8
1.0
-0.146 -1.335 -8.680
3.339 -8.439 1.242
-7.359 2.279 4.217
Se Pb Ce K
8 1 3 4
Cartesian
-1.252 -5.196 0.820 Se
-4.843 -4.744 -1.315 Se
-2.914 -2.299 -4.041 Se
-1.217 -5.883 -3.518 Se
0.607 -3.389 -6.059 Se
-4.773 -4.105 2.838 Se
0.677 -2.750 -1.906 Se
-2.949 -1.611 0.297 Se
1.669 -4.219 0.621 Pb
1.597 -4.887 -3.719 Ce
-2.010 -3.080 2.729 Ce
-2.083 -3.747 -1.610 Ce
-3.680 1.140 2.108 K
0.000 0.000 0.000 K
-0.073 -0.668 -4.340 K
-3.753 0.472 -2.231 K
```

- Uncorrected formation energy: -1.517 eV/atom
- Symmetry: R-3m (166)
- DOS(E_F): 0.8136 states/eV per atom



Entry 5:
Material: K3Ce2PbSe6
Method: DFT, PBE
State: relaxed

```
K3Ce2PbSe6
1.0
-1.317 -6.727 3.279
-1.822 1.090 -7.296
7.988 -0.494 -0.747
Se Pb Ce K
6 1 2 3
Cartesian
5.437 -1.977 -1.721 Se
4.034 -6.015 -1.763 Se
0.815 -0.117 -3.001 Se
-0.588 -4.155 -3.043 Se
0.992 -2.862 0.713 Se
3.857 -3.269 -5.477 Se
0.000 0.000 0.000 Pb
-1.485 -4.126 -0.240 Ce
-1.654 -1.511 -3.777 Ce
2.425 -3.066 -2.382 K
2.596 -5.715 1.202 K
2.253 -0.416 -5.966 K
```

- Uncorrected formation energy: -1.459 eV/atom
- Symmetry: C2/m (12)
- DOS(E_F): 0.5176 states/eV per atom



Entry 6:
Material: KCe4Pd3S12
Method: DFT, PBE
State: relaxed

```
KCe4Pd3S12
1.0
-5.248 -4.504 5.102
5.530 -5.336 -3.848
4.349 5.728 4.705
S Pd Ce K
12 3 4 1
Cartesian
4.682 -1.131 3.998 S
0.959 0.891 6.778 S
6.736 -1.296 0.780 S
1.278 0.457 3.300 S
-0.052 -2.981 1.961 S
-2.105 -2.816 5.179 S
4.582 2.359 3.553 S
1.398 -2.677 5.483 S
0.048 -6.471 2.406 S
3.672 -5.003 -0.819 S
3.232 -1.435 0.476 S
3.353 -4.569 2.659 S
4.939 0.196 0.428 Pd
0.141 -4.920 0.627 Pd
-0.450 0.612 4.903 Pd
-2.624 -2.252 2.551 Ce
2.765 -2.668 -1.924 Ce
2.174 2.864 2.352 Ce
2.315 -2.056 2.979 Ce
0.000 0.000 0.000 K
```

- Uncorrected formation energy: -1.102 eV/atom
- Symmetry: Im-3 (204)
- DOS(E_F): 0.9783 states/eV per atom



Entry 7:
Material: KCePdS2
Method: DFT, PBE
State: relaxed

```
KCePdS2
1.0
4.823 0.000 0.000
0.000 7.604 0.360
0.000 -1.955 7.547
Pd K S Ce
2 2 4 2
Cartesian
0.000 -0.977 3.774 Pd
0.000 0.000 0.000 Pd
3.957 3.313 2.067 K
0.866 2.336 5.841 K
1.491 1.783 0.385 S
3.332 3.867 7.522 S
1.491 4.844 3.749 S
3.332 0.806 4.159 S
2.306 -0.489 1.887 Ce
2.517 -1.466 5.661 Ce
```

- Uncorrected formation energy: -1.284 eV/atom
- Symmetry: P2/c (13)
- DOS(E_F): 1.4293 states/eV per atom



Entry 8:
Material: K2Ce2PdS6
Method: DFT, PBE
State: relaxed

```
K2Ce2PdS6
1.0
6.819 0.004 0.106
-3.367 5.930 0.106
-1.179 -2.026 7.482
S Ce K Pd
6 2 2 1
Cartesian
3.982 2.940 2.401 S
-1.708 0.968 5.293 S
1.685 -1.006 5.293 S
1.832 3.149 5.229 S
0.588 4.915 2.401 S
0.442 0.759 2.465 S
2.872 0.944 3.847 Ce
-0.599 2.964 3.847 Ce
5.171 0.963 0.106 K
-1.719 4.971 0.106 K
-0.589 -1.013 3.741 Pd
```

- Uncorrected formation energy: -1.321 eV/atom
- Symmetry: C2/m (12)
- DOS(E_F): 0.4577 states/eV per atom



Entry 9:
Material: K4Ce3PdS8
Method: DFT, PBE
State: relaxed

```
K4Ce3PdS8
1.0
-4.710 -4.155 4.918
6.946 -2.458 4.575
-1.343 8.218 -0.812
S K Pd Ce
8 4 1 3
Cartesian
-0.120 3.066 6.044 S
-2.193 0.094 4.449 S
0.859 -1.005 6.443 S
0.034 2.610 2.238 S
2.478 5.358 3.331 S
-1.584 -3.753 5.350 S
1.013 -1.461 2.637 S
3.087 1.511 4.233 S
0.000 0.000 0.000 K
-3.026 2.031 2.053 K
-2.355 -2.078 2.459 K
-0.672 4.109 -0.406 K
3.473 -1.229 2.287 Pd
1.118 -3.307 4.746 Ce
0.447 0.802 4.341 Ce
2.802 2.880 1.882 Ce
```

- Uncorrected formation energy: -1.488 eV/atom
- Symmetry: C2/m (12)
- DOS(E_F): 0.9391 states/eV per atom



Entry 10:
Material: KCe2PdSe4
Method: DFT, PBE
State: relaxed

```
KCe2PdSe4
1.0
-3.251 -0.391 2.701
6.164 -1.795 3.823
1.603 13.894 3.940
Ce Se Pd K
4 8 2 2
Cartesian
-0.304 0.227 3.002 Ce
4.820 11.481 7.463 Ce
4.238 6.441 6.034 Ce
0.277 5.267 4.431 Ce
0.802 6.947 1.970 Se
-0.707 3.051 2.926 Se
1.924 11.261 7.282 Se
1.471 7.328 6.166 Se
2.591 0.447 3.183 Se
3.045 4.380 4.299 Se
5.222 8.657 7.539 Se
0.000 0.000 0.000 Se
2.682 8.863 7.847 Pd
1.833 2.845 2.618 Pd
2.268 1.746 6.319 K
2.247 9.963 4.146 K
```

- Uncorrected formation energy: -1.498 eV/atom
- Symmetry: Cmcm (63)
- DOS(E_F): 1.2423 states/eV per atom



Entry 11:
Material: KCePm4S8
Method: DFT, PBE
State: relaxed

```
KCePm4S8
1.0
-0.406 -8.382 -0.696
0.639 -4.831 6.867
-6.795 -4.140 2.882
S Ce Pm K
8 1 4 1
Cartesian
-5.155 -10.864 3.161 S
-1.926 -8.515 1.791 S
-4.564 -8.856 7.440 S
-4.926 -6.123 3.555 S
-1.967 -4.325 2.302 S
-4.763 -13.020 6.771 S
-1.589 -11.063 5.413 S
-1.374 -6.642 5.780 S
-6.726 -4.142 2.874 Ce
-3.110 -4.478 4.800 Pm
-0.692 -8.776 4.216 Pm
-3.419 -2.140 1.477 Pm
-3.615 -6.196 1.140 Pm
-5.859 -8.577 4.836 K
```

- Uncorrected formation energy: -1.896 eV/atom
- Symmetry: R3m (160)
- DOS(E_F): 0.5830 states/eV per atom



Entry 12:
Material: KCe2PmS4
Method: DFT, PBE
State: relaxed

```
KCe2PmS4
1.0
4.084 0.000 0.000
0.000 7.163 -0.168
0.000 2.494 6.733
K S Ce Pm
1 4 2 1
Cartesian
2.042 3.581 -0.084 K
2.042 6.048 1.605 S
2.042 3.609 4.960 S
0.000 7.313 4.802 S
4.084 2.344 1.763 S
2.042 1.247 3.367 Ce
0.000 2.494 6.733 Ce
0.000 4.828 3.283 Pm
```

- Uncorrected formation energy: -1.857 eV/atom
- Symmetry: P2/m (10)
- DOS(E_F): 1.5803 states/eV per atom



Entry 13:
Material: K3Ce3PmS8
Method: DFT, PBE
State: relaxed

```
K3Ce3PmS8
1.0
-4.332 0.283 -7.115
-0.415 -6.756 4.865
-4.043 7.371 2.756
Ce S Pm K
3 8 1 3
Cartesian
-4.188 3.827 -2.179 Ce
-4.395 0.449 0.253 Ce
-2.229 0.308 3.810 Ce
-6.388 -1.165 1.412 S
-2.568 -1.328 1.510 S
-2.402 2.063 -0.907 S
-4.558 2.204 -4.449 S
-6.222 2.227 -1.005 S
-4.232 -1.306 4.955 S
-4.765 -1.159 -2.027 S
-4.025 2.058 2.533 S
-2.022 3.685 1.378 Pm
0.000 0.000 0.000 K
-0.208 -3.378 2.432 K
-2.373 -3.236 -1.125 K
```

- Uncorrected formation energy: -1.828 eV/atom
- Symmetry: R-3m (166)
- DOS(E_F): 0.8814 states/eV per atom



Entry 14:
Material: K3CePm3S8
Method: DFT, PBE
State: relaxed

```
K3CePm3S8
1.0
8.284 0.000 0.000
-4.142 7.175 -0.028
0.000 -4.757 7.486
S Pm Ce K
8 3 1 3
Cartesian
4.142 2.467 2.252 S
6.272 -1.223 2.267 S
0.000 2.399 2.193 S
-2.130 3.641 5.191 S
2.012 -1.223 2.267 S
0.000 -0.049 5.205 S
2.130 3.641 5.191 S
4.142 0.019 5.265 S
-2.071 1.209 3.729 Pm
2.071 1.209 3.729 Pm
4.142 -2.379 3.743 Pm
0.000 -2.379 3.743 Ce
-2.071 3.588 -0.014 K
0.000 0.000 0.000 K
2.071 3.588 -0.014 K
```

- Uncorrected formation energy: -1.844 eV/atom
- Symmetry: R-3m (166)



Entry 15:
Material: K2CePmS4
Method: DFT, PBE
State: relaxed

```
K2CePmS4
1.0
4.196 0.000 0.000
0.000 7.261 0.123
0.000 -2.544 7.328
S Ce K Pm
4 1 2 1
Cartesian
2.098 1.174 1.540 S
2.098 3.543 5.911 S
0.000 -0.108 5.850 S
0.000 4.825 1.602 S
2.098 3.630 0.062 Ce
2.098 -1.272 3.664 K
0.000 2.358 3.726 K
0.000 0.000 0.000 Pm
```

- Uncorrected formation energy: -1.825 eV/atom
- Symmetry: P2/m (10)
- DOS(E_F): 0.7195 states/eV per atom



Entry 16:
Material: K4CePm3Se8
Method: DFT, PBE
State: relaxed

```
K4CePm3Se8
1.0
8.677 0.000 0.000
0.000 9.172 0.340
-4.339 -4.335 6.139
Se K Ce Pm
8 4 1 3
Cartesian
2.182 2.542 0.269 Se
6.496 2.542 0.269 Se
0.000 0.380 3.333 Se
4.339 0.387 3.321 Se
4.339 4.457 3.146 Se
2.157 2.294 6.210 Se
0.000 4.450 3.158 Se
-2.157 2.294 6.210 Se
0.000 0.000 0.000 K
-2.169 -2.168 3.069 K
4.339 0.000 0.000 K
2.169 -2.168 3.069 K
0.000 4.586 0.170 Ce
4.339 4.586 0.170 Pm
2.169 2.418 3.240 Pm
-2.169 2.418 3.240 Pm
```

- Uncorrected formation energy: -1.741 eV/atom
- Symmetry: R-3m (166)
- DOS(E_F): 0.3337 states/eV per atom



Entry 17:
Material: K3Ce3PmSe8
Method: DFT, PBE
State: relaxed

```
K3Ce3PmSe8
1.0
8.637 0.000 -0.001
-4.319 7.478 -0.026
0.000 -4.958 7.758
K Ce Se Pm
3 3 8 1
Cartesian
2.159 3.739 -0.013 K
0.000 0.000 0.000 K
-2.159 3.739 -0.013 K
2.159 1.260 3.866 Ce
4.318 -2.479 3.878 Ce
-2.160 1.260 3.866 Ce
0.000 2.501 2.253 Se
2.144 3.750 5.429 Se
4.319 2.485 2.289 Se
2.173 -1.231 2.302 Se
6.463 -1.230 2.302 Se
4.318 0.019 5.478 Se
-0.001 0.035 5.442 Se
-2.146 3.750 5.429 Se
0.000 -2.479 3.879 Pm
```

- Uncorrected formation energy: -1.713 eV/atom
- Symmetry: R-3m (166)
- DOS(E_F): 0.8786 states/eV per atom



Entry 18:
Material: K2CePmSe4
Method: DFT, PBE
State: relaxed

```
K2CePmSe4
1.0
-3.729 0.875 2.073
-3.874 -3.209 -5.614
1.698 -5.704 5.463
Se K Pm Ce
4 2 1 1
Cartesian
0.328 -5.347 2.848 Se
-3.487 -6.527 1.058 Se
-2.418 -1.512 0.864 Se
-2.504 -3.567 -2.999 Se
-1.016 -2.415 3.768 K
-1.088 -4.457 -0.075 K
0.000 0.000 0.000 Pm
-3.801 -1.167 -1.771 Ce
```

- Uncorrected formation energy: -1.724 eV/atom
- Symmetry: P2/m (10)
- DOS(E_F): 0.7161 states/eV per atom



Entry 19:
Material: KCe2PmSe4
Method: DFT, PBE
State: relaxed

```
KCe2PmSe4
1.0
4.248 0.000 0.000
0.000 7.462 -0.182
0.000 2.591 7.009
Ce Se K Pm
2 4 1 1
Cartesian
0.000 2.591 7.008 Ce
2.124 1.296 3.504 Ce
2.124 6.285 1.661 Se
0.000 7.597 5.009 Se
2.124 3.768 5.165 Se
4.248 2.456 1.817 Se
2.124 3.731 -0.091 K
0.000 5.027 3.413 Pm
```

- Uncorrected formation energy: -1.713 eV/atom
- Symmetry: P2/m (10)
- DOS(E_F): 1.7816 states/eV per atom



Entry 20:
Material: K2CePmTe4
Method: DFT, PBE
State: relaxed

```
K2CePmTe4
1.0
-3.310 -0.764 -3.148
-2.298 -6.551 4.006
-4.487 6.728 3.085
K Te Ce Pm
2 4 1 1
Cartesian
-3.898 2.982 -0.031 K
-3.392 0.088 3.546 K
-3.166 -0.516 0.048 Te
-6.928 -0.071 3.896 Te
-4.138 3.560 3.487 Te
-2.647 -3.383 3.604 Te
0.000 0.000 0.000 Ce
-2.804 -3.657 0.429 Pm
```

- Uncorrected formation energy: -1.381 eV/atom
- Symmetry: P2/m (10)
- DOS(E_F): 0.7838 states/eV per atom